No. 1
Entry from Alexandria via LeMat-Bulk: a relaxed K4RuF10 crystal (GGA-PBE).

POSCAR file:
```
K4RuF10
1.0
-4.4799 -0.1095 3.8829
0.1033 -5.7456 4.4845
1.4397 3.4011 6.2843
K Ru F
4 1 10
Cartesian
-1.1366 -3.2737 7.6510 K
-2.3741 -0.8189 10.8198 K
-0.5628 -1.6351 3.8319 K
-1.8002 0.8197 7.0008 K
0.0000 0.0000 0.0000 Ru
-0.3485 -1.1996 6.3551 F
-1.8569 1.7254 9.7137 F
0.1560 0.4108 1.9662 F
-0.3690 -2.7982 10.3247 F
-3.8039 -4.2459 7.2990 F
-1.0800 -4.1793 4.9381 F
-2.5884 -1.2544 8.2966 F
0.8670 1.7919 7.3528 F
-2.5679 0.3442 4.3271 F
-3.0929 -2.8647 12.6856 F
```

Output
For the uncorrected formation energy, the calculation gives -2155 meV per atom.


No. 2
Entry from Alexandria via LeMat-Bulk: a relaxed BaMn2Au crystal (GGA-PBE).

POSCAR file:
```
BaMn2Au
1.0
5.2140 0.0000 0.0000
2.6070 4.5155 0.0000
2.6070 1.5052 4.2572
Au Ba Mn
1 1 2
Cartesian
5.2140 3.0103 2.1286 Au
7.8210 4.5155 3.1929 Ba
0.0000 0.0000 0.0000 Mn
2.6070 1.5052 1.0643 Mn
```

Output
The calculated formation energy comes out at 526 meV/atom.


No. 3
Entry from Alexandria via LeMat-Bulk: a relaxed MgSc2Br crystal (GGA-PBE).

POSCAR file:
```
MgSc2Br
1.0
-3.4979 -2.9242 8.1069
-1.9327 -5.7893 7.0183
-0.1316 -3.3658 8.6696
Br Mg Sc
1 1 2
Cartesian
-1.3906 -3.0198 5.9487 Br
-4.1717 -9.0595 17.8461 Mg
-5.5394 -12.0297 23.6972 Sc
-2.8039 -6.0892 11.9951 Sc
```

Output
For the energy above the lowest structure with this stoichiometry, the calculation gives 0 meV per atom. For the uncorrected formation energy, the calculation gives -406 meV per atom.


No. 4
Entry from Alexandria via LeMat-Bulk: a relaxed Cs3Tl4In crystal (GGA-PBE).

POSCAR file:
```
Cs3Tl4In
1.0
-7.1990 -2.6077 2.7973
2.2500 0.9135 -7.7816
2.9895 -6.1951 4.3743
Cs Tl In
3 4 1
Cartesian
-1.0930 -6.2500 3.2095 Cs
-3.8322 -8.0136 6.5288 Cs
-1.4013 -2.7576 -2.9083 Cs
2.7619 -5.8433 -0.7563 Tl
0.5034 -3.5667 0.7124 Tl
-2.6124 -3.1760 0.9059 Tl
2.2530 -1.3672 -4.2418 Tl
2.5158 -2.8581 -1.5265 In
```

Output
The calculated formation energy comes out at -68 meV/atom. For the energy above the lowest structure with this stoichiometry, the calculation gives 0 meV per atom.


No. 5
Entry from Alexandria via LeMat-Bulk: a relaxed Rb2MgGa3Sn4 crystal (GGA-PBE).

POSCAR file:
```
Rb2MgGa3Sn4
1.0
4.9886 0.0000 0.0000
0.0000 4.9886 0.0000
0.0000 0.0000 11.6516
Rb Mg Ga Sn
2 1 3 4
Cartesian
2.4943 0.0000 2.9197 Rb
0.0000 2.4943 8.7320 Rb
2.4943 2.4943 5.8258 Mg
0.0000 0.0000 5.8258 Ga
2.4943 0.0000 10.1439 Ga
0.0000 2.4943 1.5077 Ga
2.4943 2.4943 0.0000 Sn
0.0000 0.0000 0.0000 Sn
2.4943 0.0000 7.3721 Sn
0.0000 2.4943 4.2795 Sn
```

Output
The calculated formation energy comes out at -154 meV/atom.


No. 6
Entry from Alexandria via LeMat-Bulk: a relaxed Zr2InNi crystal (GGA-PBE).

POSCAR file:
```
Zr2InNi
1.0
-2.1193 -2.2572 -0.3194
1.1898 -0.7229 -2.7839
5.0005 -5.1881 3.4841
In Ni Zr
1 1 2
Cartesian
0.7853 -2.7870 -0.6806 In
3.2856 -5.3811 1.0614 Ni
4.8207 -5.0016 3.3589 Zr
2.6800 -2.7806 1.8673 Zr
```

Output
The calculated formation energy comes out at -310 meV/atom.


No. 7
Entry from Alexandria via LeMat-Bulk: a relaxed Mn2Al4Fe3 crystal (GGA-PBE).

POSCAR file:
```
Mn2Al4Fe3
1.0
-3.6850 -0.1066 -1.9027
-1.4508 -3.5826 -1.5122
-3.4200 -1.4528 6.7048
Mn Al Fe
2 4 3
Cartesian
-4.3944 -2.3702 4.1206 Mn
-4.1614 -2.7718 -0.8308 Mn
-6.4624 -3.7509 3.6804 Al
-2.5785 -4.0603 0.6985 Al
-5.9773 -1.0817 2.5914 Al
-2.0934 -1.3911 -0.3906 Al
-3.2863 -1.8980 1.9481 Fe
0.0000 0.0000 0.0000 Fe
-5.2695 -3.2440 1.3417 Fe
```

Output
The calculated formation energy comes out at -229 meV/atom.


No. 8
Entry from Alexandria via LeMat-Bulk: a relaxed UNi2Pt crystal (GGA-PBE).

POSCAR file:
```
UNi2Pt
1.0
2.7603 0.0000 0.0000
1.3801 2.3905 0.0000
1.3801 0.7968 9.5796
Ni U Pt
2 1 1
Cartesian
1.3801 0.7968 7.0772 Ni
4.1404 2.3905 2.5024 Ni
2.7603 1.5937 4.7898 U
0.0000 0.0000 0.0000 Pt
```

Output
The calculated formation energy comes out at 278 meV/atom.